(1)
This record from Alexandria via LeMat-Bulk describes a relaxed structure of Li7ClO2F2. The functional is GGA-PBE.

Summary:
Fermi-level density of states: 0.00 states/eV per cell
energy relative to the elements, uncorrected: -2.100 eV per atom
space group: C2/m, No. 12

The structure in POSCAR format:
```
Li7ClO2F2
1.0
2.745 -2.681 0.000
2.745 2.681 0.000
-2.639 0.000 9.254
Li Cl O F
7 1 2 2
Direct
0.000 0.000 0.000
0.055 0.590 0.216
0.137 0.137 0.412
0.410 0.945 0.784
0.590 0.055 0.216
0.863 0.863 0.588
0.945 0.410 0.784
0.500 0.500 0.000
0.097 0.097 0.213
0.903 0.903 0.787
0.234 0.234 0.611
0.766 0.766 0.389
```



(2)
This record from Alexandria via LeMat-Bulk describes a relaxed structure of LiPCl2F. The functional is GGA-PBE.

Summary:
energy relative to the lowest polymorph listed for this composition: 521 meV per atom
Fermi-level density of states: 3.59 states/eV per cell
energy relative to the elements, uncorrected: 0.059 eV per atom
space group: P4/mmm, No. 123

The structure in POSCAR format:
```
LiPCl2F
1.0
4.335 0.000 0.000
0.000 4.335 0.000
0.000 0.000 5.334
Li P Cl F
1 1 2 1
Direct
0.000 0.000 0.000
0.000 0.000 0.500
0.000 0.500 0.000
0.500 0.000 0.000
0.500 0.500 0.500
```



(3)
This record from Alexandria via LeMat-Bulk describes a relaxed structure of LiPCl2F. The functional is GGA-PBE.

Summary:
energy relative to the lowest polymorph listed for this composition: 0 meV per atom
Fermi-level density of states: 1.07 states/eV per cell
energy relative to the elements, uncorrected: -0.462 eV per atom
space group: P4/mmm, No. 123

The structure in POSCAR format:
```
LiPCl2F
1.0
5.447 0.000 0.000
0.000 5.447 0.000
0.000 0.000 3.606
Li P Cl F
1 1 2 1
Direct
0.000 0.000 0.000
0.500 0.500 0.000
0.000 0.500 0.500
0.500 0.000 0.500
0.500 0.500 0.500
```



Number 1: DFT total energy -4.51 eV/atom. Number 2: DFT total energy -2.52 eV/atom. Number 3: DFT total energy -3.04 eV/atom.